Record 1
The following is a DFT calculation (PBE) of Li2YTaSe4 after structural relaxation.

abc: 3.7114 3.7114 13.5293
angles: 90.00 90.00 120.00
Fractional coordinates of all 8 atoms:
Li 0.0000 0.0000 0.2461
Li 0.0000 0.0000 0.7539
Y 0.0000 0.0000 0.5000
Ta 0.0000 0.0000 0.0000
Se 0.3333 0.6667 0.3637
Se 0.3333 0.6667 0.6363
Se 0.6667 0.3333 0.1187
Se 0.6667 0.3333 0.8813

Electronic total energy = -5.7457 eV per atom

=====

Record 2
The following is a DFT calculation (PBE) of LiTbZnSe3 after structural relaxation.

abc: 10.9505 4.0049 13.1966
angles: 90.00 90.00 90.00
Fractional coordinates of all 24 atoms:
Li 0.2094 0.2500 0.0222
Li 0.2906 0.7500 0.5222
Li 0.7094 0.2500 0.4778
Li 0.7906 0.7500 0.9778
Tb 0.0108 0.7500 0.7438
Tb 0.4892 0.2500 0.2438
Tb 0.5108 0.7500 0.7562
Tb 0.9892 0.2500 0.2562
Zn 0.2413 0.7500 0.2253
Zn 0.2587 0.2500 0.7253
Zn 0.7413 0.7500 0.2747
Zn 0.7587 0.2500 0.7747
Se 0.0641 0.7500 0.1106
Se 0.0879 0.2500 0.6062
Se 0.2420 0.2500 0.3408
Se 0.2580 0.7500 0.8408
Se 0.4121 0.7500 0.1062
Se 0.4359 0.2500 0.6106
Se 0.5641 0.7500 0.3894
Se 0.5879 0.2500 0.8938
Se 0.7420 0.2500 0.1592
Se 0.7580 0.7500 0.6592
Se 0.9121 0.7500 0.3938
Se 0.9359 0.2500 0.8894

Electronic total energy = -4.3136 eV per atom
Energy above the lowest structure with this stoichiometry = 0.79 kcal/mol of atoms

=====

Record 3
The following is a DFT calculation (PBE) of LiTbZnSe3 after structural relaxation.

abc: 7.8423 4.0227 9.8718
angles: 90.00 103.10 90.00
Fractional coordinates of all 12 atoms:
Li 0.1782 0.2500 0.1326
Li 0.8218 0.7500 0.8674
Tb 0.3283 0.7500 0.8477
Tb 0.6717 0.2500 0.1523
Zn 0.0784 0.2500 0.6019
Zn 0.9216 0.7500 0.3981
Se 0.0638 0.2500 0.8499
Se 0.2364 0.7500 0.5407
Se 0.4141 0.7500 0.1489
Se 0.5859 0.2500 0.8511
Se 0.7636 0.2500 0.4593
Se 0.9362 0.7500 0.1501

Electronic total energy = -4.3477 eV per atom
Energy above the lowest structure with this stoichiometry = 0.00 kcal/mol of atoms

=====

Record 4
The following is a DFT calculation (PBE) of LiTbZnSe3 after structural relaxation.

abc: 6.8311 6.8311 10.9382
angles: 90.00 90.00 146.09
Fractional coordinates of all 12 atoms:
Li 0.2252 0.7748 0.7500
Li 0.7748 0.2252 0.2500
Tb 0.0000 0.0000 0.0000
Tb 0.0000 0.0000 0.5000
Zn 0.4754 0.5246 0.2500
Zn 0.5246 0.4754 0.7500
Se 0.0927 0.9073 0.2500
Se 0.3566 0.6434 0.0768
Se 0.3566 0.6434 0.4232
Se 0.6434 0.3566 0.5768
Se 0.6434 0.3566 0.9232
Se 0.9073 0.0927 0.7500

Electronic total energy = -4.3139 eV per atom
Energy above the lowest structure with this stoichiometry = 0.78 kcal/mol of atoms

=====

Record 5
The following is a DFT calculation (PBE) of LiTc2Se4 after structural relaxation.

abc: 7.5381 7.5381 7.5381
angles: 60.00 60.00 60.00
Fractional coordinates of all 14 atoms:
Li 0.1250 0.1250 0.1250
Li 0.8750 0.8750 0.8750
Tc 0.0000 0.5000 0.5000
Tc 0.5000 0.0000 0.5000
Tc 0.5000 0.5000 0.0000
Tc 0.5000 0.5000 0.5000
Se 0.2589 0.2589 0.2589
Se 0.2589 0.2589 0.7234
Se 0.2589 0.7234 0.2589
Se 0.2766 0.7411 0.7411
Se 0.7234 0.2589 0.2589
Se 0.7411 0.2766 0.7411
Se 0.7411 0.7411 0.2766
Se 0.7411 0.7411 0.7411

Electronic total energy = -5.5715 eV per atom

=====

Record 6
The following is a DFT calculation (PBE) of Li3Tc2Se6 after structural relaxation.

abc: 6.1909 6.1909 6.6716
angles: 97.04 97.04 119.30
Fractional coordinates of all 11 atoms:
Li 0.0000 0.0000 0.0000
Li 0.1873 0.8127 0.5000
Li 0.8127 0.1873 0.5000
Tc 0.3716 0.6284 0.0000
Tc 0.6284 0.3716 0.0000
Se 0.0416 0.4101 0.2092
Se 0.2833 0.2833 0.7265
Se 0.4101 0.0416 0.2092
Se 0.5899 0.9584 0.7908
Se 0.7167 0.7167 0.2735
Se 0.9584 0.5899 0.7908

Electronic total energy = -4.9225 eV per atom

=====

Record 7
The following is a DFT calculation (PBE) of Li2ThSe3 after structural relaxation.

abc: 6.6768 6.6768 11.1177
angles: 90.00 90.00 143.36
Fractional coordinates of all 12 atoms:
Li 0.0177 0.9823 0.7500
Li 0.2441 0.7559 0.2500
Li 0.7559 0.2441 0.7500
Li 0.9823 0.0177 0.2500
Th 0.5000 0.5000 0.0000
Th 0.5000 0.5000 0.5000
Se 0.1406 0.8594 0.5768
Se 0.1406 0.8594 0.9232
Se 0.4075 0.5925 0.7500
Se 0.5925 0.4075 0.2500
Se 0.8594 0.1406 0.0768
Se 0.8594 0.1406 0.4232

Electronic total energy = -5.0352 eV per atom

=====

Record 8
The following is a DFT calculation (PBE) of LiThTlSe3 after structural relaxation.

abc: 7.4280 7.4280 11.2443
angles: 90.00 90.00 146.16
Fractional coordinates of all 12 atoms:
Li 0.0399 0.9601 0.7500
Li 0.9601 0.0399 0.2500
Th 0.5000 0.5000 0.0000
Th 0.5000 0.5000 0.5000
Tl 0.2386 0.7614 0.2500
Tl 0.7614 0.2386 0.7500
Se 0.1305 0.8695 0.5559
Se 0.1305 0.8695 0.9441
Se 0.4394 0.5606 0.7500
Se 0.5606 0.4394 0.2500
Se 0.8695 0.1305 0.0559
Se 0.8695 0.1305 0.4441

Electronic total energy = -4.9970 eV per atom